Entry 1:
MnV2Ni7Ge2 | PBE-GGA | optimized geometry Values from VASP.

Results
raw total energy = -6.55 eV per atom
Fermi-level density of states = 1.00 states/eV/atom

Quantum ESPRESSO input file:
```
&SYSTEM
  ibrav = 0, nat = 12, ntyp = 4
/
ATOMIC_SPECIES
Ni 58.69 Ni.upf
Mn 54.94 Mn.upf
V 50.94 V.upf
Ge 72.64 Ge.upf
CELL_PARAMETERS angstrom
3.572 -0.011 0.276
-0.007 3.572 0.276
2.684 2.681 11.957
ATOMIC_POSITIONS angstrom
Ni 4.607 2.812 10.308
Ni 2.249 2.247 6.119
Ni 3.432 1.639 2.201
Ni 1.783 1.781 0.276
Ni 4.000 3.995 6.391
Ni 1.643 3.430 2.201
Ni 2.817 4.603 10.308
Mn 0.000 0.000 0.000
V 1.498 1.496 3.961
V 4.751 4.745 8.548
Ge 2.954 2.950 8.458
Ge 3.296 3.292 4.051
```

Entry 2:
Y2MnNi4Ge3 | PBE-GGA | optimized geometry Values from VASP.

Results
raw total energy = -6.49 eV per atom
Fermi-level density of states = 0.87 states/eV/atom

Quantum ESPRESSO input file:
```
&SYSTEM
  ibrav = 0, nat = 10, ntyp = 4
/
ATOMIC_SPECIES
Ni 58.69 Ni.upf
Y 88.91 Y.upf
Mn 54.94 Mn.upf
Ge 72.64 Ge.upf
CELL_PARAMETERS angstrom
4.018 0.000 0.000
0.000 4.018 0.000
0.000 0.000 9.947
ATOMIC_POSITIONS angstrom
Ni 2.009 0.000 6.321
Ni 0.000 0.000 0.000
Ni 0.000 2.009 3.626
Ni 2.009 2.009 0.000
Y 0.000 2.009 7.479
Y 2.009 0.000 2.468
Mn 2.009 2.009 4.974
Ge 2.009 0.000 8.658
Ge 0.000 2.009 1.290
Ge 0.000 0.000 4.974
```

Entry 3:
NpMn2Ge2 | PBE-GGA | optimized geometry Values from VASP.

Results
raw total energy = -8.24 eV per atom
Fermi-level density of states = 2.16 states/eV/atom

Quantum ESPRESSO input file:
```
&SYSTEM
  ibrav = 0, nat = 5, ntyp = 3
/
ATOMIC_SPECIES
Mn 54.94 Mn.upf
Ge 72.64 Ge.upf
Np 237.00 Np.upf
CELL_PARAMETERS angstrom
3.897 0.000 0.000
0.000 3.897 0.000
-1.949 -1.949 5.487
ATOMIC_POSITIONS angstrom
Mn 0.000 1.949 2.743
Mn 1.949 0.000 2.743
Ge 0.000 0.000 4.191
Ge 1.949 1.949 1.296
Np 0.000 0.000 0.000
```

Entry 4:
NpMnGe2 | PBE-GGA | optimized geometry Values from VASP.

Results
polymorph energy (0 for the lowest one) = 1.081 eV per atom
raw total energy = -6.93 eV per atom
Fermi-level density of states = 2.35 states/eV/atom

Quantum ESPRESSO input file:
```
&SYSTEM
  ibrav = 0, nat = 4, ntyp = 3
/
ATOMIC_SPECIES
Ge 72.64 Ge.upf
Mn 54.94 Mn.upf
Np 237.00 Np.upf
CELL_PARAMETERS angstrom
4.658 0.000 0.000
2.329 4.034 0.000
2.329 1.345 6.686
ATOMIC_POSITIONS angstrom
Ge 2.329 1.345 4.266
Ge 6.987 4.034 2.420
Mn 0.000 0.000 0.000
Np 4.658 2.689 3.343
```

Entry 5:
NpMn2Ge2 | PBE-GGA | optimized geometry Values from VASP.

Results
raw total energy = -8.15 eV per atom
Fermi-level density of states = 1.07 states/eV/atom

Quantum ESPRESSO input file:
```
&SYSTEM
  ibrav = 0, nat = 10, ntyp = 3
/
ATOMIC_SPECIES
Mn 54.94 Mn.upf
Ge 72.64 Ge.upf
Np 237.00 Np.upf
CELL_PARAMETERS angstrom
4.227 0.000 0.000
0.000 5.428 0.000
0.000 0.000 7.077
ATOMIC_POSITIONS angstrom
Mn 2.114 1.357 1.321
Mn 2.114 2.714 3.538
Mn 2.114 4.071 5.756
Mn 2.114 0.000 3.538
Ge 0.000 4.071 4.227
Ge 0.000 1.357 2.849
Ge 2.114 4.071 1.434
Ge 2.114 1.357 5.643
Np 0.000 0.000 0.000
Np 0.000 2.714 0.000
```

Entry 6:
NpMnGe2 | PBE-GGA | optimized geometry Values from VASP.

Results
polymorph energy (0 for the lowest one) = 0.164 eV per atom
raw total energy = -7.85 eV per atom
Fermi-level density of states = 1.67 states/eV/atom

Quantum ESPRESSO input file:
```
&SYSTEM
  ibrav = 0, nat = 4, ntyp = 3
/
ATOMIC_SPECIES
Np 237.00 Np.upf
Ge 72.64 Ge.upf
Mn 54.94 Mn.upf
CELL_PARAMETERS angstrom
3.115 0.000 0.000
0.000 3.115 0.000
0.000 0.000 6.949
ATOMIC_POSITIONS angstrom
Np 1.557 1.557 3.474
Ge 0.000 0.000 5.568
Ge 0.000 0.000 1.380
Mn 1.557 1.557 0.000
```

Energy of formation from the pure elements for every record listed, in sequence, given in eV per formula unit: -1.48 -5.87 -0.68 3.61 -0.23 -0.06.